Entry 1:
Compound: ReRuBr2
Source: Alexandria via LeMat-Bulk
Functional: PBE
Structure: optimized geometry

## Properties
As for the density of states at the Fermi level: 17.66 states/eV/cell. The value obtained for the uncorrected formation energy is 1.46 eV/atom. The energy above the most stable polymorph in this dataset is 1195 meV per atom.

abc: 6.605 6.605 6.605
angles: 90.00 90.00 90.00
Space group F-43m (No. 216)
Unique sites:
1 Re 0.000 0.000 0.000 [4 per cell]
2 Ru 0.250 0.250 0.250 [4 per cell]
3 Br 0.000 0.000 0.500 [4 per cell]
4 Br 0.250 0.250 0.750 [4 per cell]

Entry 2:
Compound: PPdN3
Source: Alexandria via LeMat-Bulk
Functional: PBE
Structure: optimized geometry

## Properties
As for the density of states at the Fermi level: 5.18 states/eV/cell. The value obtained for the uncorrected formation energy is 2.36 eV/atom.

abc: 3.895 3.895 3.895
angles: 90.00 90.00 90.00
Space group Pm-3m (No. 221)
Unique sites:
1 P 0.000 0.000 0.000 [1 per cell]
2 Pd 0.500 0.500 0.500 [1 per cell]
3 N 0.000 0.500 0.500 [3 per cell]

Entry 3:
Compound: Y4MgRh
Source: Alexandria via LeMat-Bulk
Functional: PBE
Structure: optimized geometry

## Properties
As for the density of states at the Fermi level: 13.09 states/eV/cell. The value obtained for the energy relative to the elements is -282 meV/atom. The energy above the most stable polymorph in this dataset is 117 meV per atom.

abc: 12.732 3.585 7.450
angles: 90.00 107.16 90.00
Space group Cm (No. 8)
Unique sites:
1 Y 0.000 0.000 0.000 [2 per cell]
2 Y 0.006 0.000 0.453 [2 per cell]
3 Y 0.218 0.500 0.857 [2 per cell]
4 Y 0.224 0.500 0.310 [2 per cell]
5 Mg 0.362 0.000 0.655 [2 per cell]
6 Rh 0.362 0.000 0.155 [2 per cell]